[1]
Here is a PBEsol-optimized structure of Mg3ZnS from the Alexandria database. Energies are from SCAN.

Cell: 4.793 4.793 4.793 Å, 90.00 90.00 90.00°
Element x y z (fractional)
Mg (0.000, 0.000, 0.500)
Mg (0.000, 0.500, 0.000)
Mg (0.500, 0.000, 0.000)
Zn (0.500, 0.500, 0.500)
S (0.000, 0.000, 0.000)

Values from the calculation:
The calculation puts the density at 2.6 g/cm³. Its uncorrected formation energy is -0.1687 eV/atom. As for the crystal system: cubic.

[2]
Here is a PBEsol-optimized structure of CaOsSe2 from the Alexandria database. Energies are from SCAN.

Cell: 3.981 3.981 16.909 Å, 90.00 90.00 120.00°
Element x y z (fractional)
Ca (0.000, 0.000, 0.000)
Ca (0.333, 0.667, 0.667)
Ca (0.667, 0.333, 0.333)
Os (0.000, 0.000, 0.500)
Os (0.333, 0.667, 0.167)
Os (0.667, 0.333, 0.833)
Se (0.000, 0.000, 0.231)
Se (0.000, 0.000, 0.769)
Se (0.333, 0.667, 0.436)
Se (0.333, 0.667, 0.897)
Se (0.667, 0.333, 0.103)
Se (0.667, 0.333, 0.564)

Values from the calculation:
The calculation puts the density at 8.3 g/cm³. The value obtained for the energy above the most stable polymorph in this dataset is 0 meV per atom. Its uncorrected formation energy is -0.7684 eV/atom. As for the crystal system: trigonal.

[3]
Here is a PBEsol-optimized structure of BaZrSe2 from the Alexandria database. Energies are from SCAN.

Cell: 7.262 7.262 7.262 Å, 90.00 90.00 90.00°
Element x y z (fractional)
Ba (0.000, 0.000, 0.000)
Ba (0.000, 0.500, 0.500)
Ba (0.500, 0.000, 0.500)
Ba (0.500, 0.500, 0.000)
Zr (0.000, 0.000, 0.500)
Zr (0.000, 0.500, 0.000)
Zr (0.500, 0.000, 0.000)
Zr (0.500, 0.500, 0.500)
Se (0.250, 0.250, 0.250)
Se (0.250, 0.250, 0.750)
Se (0.250, 0.750, 0.250)
Se (0.250, 0.750, 0.750)
Se (0.750, 0.250, 0.250)
Se (0.750, 0.250, 0.750)
Se (0.750, 0.750, 0.250)
Se (0.750, 0.750, 0.750)

Values from the calculation:
The calculation puts the density at 6.7 g/cm³. The value obtained for the energy above the most stable polymorph in this dataset is 48 meV per atom. Its uncorrected formation energy is -1.2920 eV/atom. As for the crystal system: cubic.

[4]
Here is a PBEsol-optimized structure of BaCrTc from the Alexandria database. Energies are from SCAN.

Cell: 3.155 3.155 12.560 Å, 90.00 90.00 90.00°
Element x y z (fractional)
Ba (0.000, 0.000, 0.000)
Ba (0.500, 0.500, 0.500)
Cr (0.000, 0.000, 0.715)
Cr (0.500, 0.500, 0.215)
Tc (0.000, 0.000, 0.289)
Tc (0.500, 0.500, 0.789)

Values from the calculation:
The calculation puts the density at 7.6 g/cm³. Its energy of formation from the pure elements is 0.700 eV per atom. As for the crystal system: tetragonal.

[5]
Here is a PBEsol-optimized structure of Ba3SrIr2O9 from the Alexandria database. Energies are from SCAN.

Cell: 5.945 5.945 14.902 Å, 91.54 91.54 119.34°
Element x y z (fractional)
Ba (0.011, 0.989, 0.750)
Ba (0.324, 0.658, 0.410)
Ba (0.342, 0.676, 0.090)
Ba (0.658, 0.324, 0.910)
Ba (0.676, 0.342, 0.590)
Ba (0.989, 0.011, 0.250)
Sr (0.000, 0.000, 0.000)
Sr (0.000, 0.000, 0.500)
Ir (0.313, 0.640, 0.834)
Ir (0.360, 0.687, 0.666)
Ir (0.640, 0.313, 0.334)
Ir (0.687, 0.360, 0.166)
O (0.032, 0.507, 0.734)
O (0.135, 0.774, 0.905)
O (0.138, 0.319, 0.893)
O (0.226, 0.865, 0.595)
O (0.229, 0.413, 0.575)
O (0.319, 0.138, 0.393)
O (0.413, 0.229, 0.075)
O (0.493, 0.507, 0.750)
O (0.493, 0.968, 0.766)
O (0.507, 0.032, 0.234)
O (0.507, 0.493, 0.250)
O (0.587, 0.771, 0.925)
O (0.681, 0.862, 0.607)
O (0.771, 0.587, 0.425)
O (0.774, 0.135, 0.405)
O (0.862, 0.681, 0.107)
O (0.865, 0.226, 0.095)
O (0.968, 0.493, 0.266)

Values from the calculation:
The calculation puts the density at 7.4 g/cm³. Its uncorrected formation energy is -2.1223 eV/atom. As for the crystal system: monoclinic.

[6]
Here is a PBEsol-optimized structure of LaHBr2Cl from the Alexandria database. Energies are from SCAN.

Cell: 4.466 4.466 4.915 Å, 90.00 90.00 90.00°
Element x y z (fractional)
La (0.000, 0.000, 0.000)
H (0.500, 0.500, 0.500)
Br (0.000, 0.500, 0.500)
Br (0.500, 0.000, 0.500)
Cl (0.500, 0.500, 0.000)

Values from the calculation:
The calculation puts the density at 5.7 g/cm³. The total energy comes out at -19.65 eV per atom. As for the crystal system: tetragonal.